A geometry-optimized Li2TmHg3 structure, computed with PBE.

Lattice parameters (Å, degrees): 3.4351 3.4351 10.4169 90.00 90.00 90.00
Closest atoms and distances in Å follow each position.
Space group P4/mmm (No. 123)
Unique sites:
Li 0.0000 0.0000 0.1550 (multiplicity 2)  8 Hg 2.90-2.92, 1 Li 3.23
Tm 0.0000 0.0000 0.5000 (multiplicity 1)  8 Hg 3.16, 4 Tm 3.44
Hg 0.5000 0.5000 0.0000 (multiplicity 1)  8 Li 2.92, 2 Hg 3.19
Hg 0.5000 0.5000 0.3063 (multiplicity 2)  4 Li 2.90, 4 Tm 3.16, 1 Hg 3.19

Computed properties:
Size of the total moment, μB per cell: 0.122
Energy relative to the lowest polymorph listed for this composition, eV/atom: 0.002